BaLaFe3: relaxed, PBE-GGA.

The structure in extended XYZ format:
```
5
Lattice="5.208 0.000 0.000 0.000 5.208 0.000 0.000 0.000 5.208" Properties=species:S:1:pos:R:3 pbc="T T T"
La 0.000 0.000 0.000
Fe 2.604 0.000 0.000
Fe 0.000 0.000 2.604
Fe 0.000 2.604 0.000
Ba 2.604 2.604 2.604
```

Output
N(E_F): 5.86 states/eV/cell
E_form: 1.20 eV/atom
Space group: Pm-3m, No. 221
Uncorrected energy: -5.245 eV per atom
Volume: 28.2 Å³ per atom

=====

PmTc2O8: relaxed, PBE-GGA.

The structure in extended XYZ format:
```
11
Lattice="5.752 0.120 0.445 0.499 6.289 0.302 0.168 -0.116 6.313" Properties=species:S:1:pos:R:3 pbc="T T T"
O 3.952 1.179 1.474
O 4.534 3.623 4.110
O 5.011 4.366 6.866
O 5.110 6.297 5.054
O 1.408 1.927 0.194
O 1.885 2.671 2.950
O 2.466 5.115 5.586
O 1.308 -0.003 2.006
Tc 4.198 4.779 5.324
Tc 2.221 1.514 1.736
Pm 0.000 0.000 0.000
```

Output
N(E_F): 4.66 states/eV/cell
ΔE_f (raw): -1.744 eV per atom
Space group: C2/m, No. 12
Uncorrected energy: -7.666 eV per atom
Volume: 20.7 Å³ per atom

=====

Pa4O: relaxed, PBE-GGA.

The structure in extended XYZ format:
```
5
Lattice="4.797 0.000 0.000 0.000 4.797 0.000 0.000 0.000 4.797" Properties=species:S:1:pos:R:3 pbc="T T T"
Pa 2.398 0.000 2.398
Pa 2.398 2.398 0.000
Pa 0.000 2.398 2.398
Pa 0.000 0.000 0.000
O 2.398 2.398 2.398
```

Output
N(E_F): 8.10 states/eV/cell
ΔE_f (raw): -0.934 eV per atom
Space group: Pm-3m, No. 221
Uncorrected energy: -9.523 eV per atom
Volume: 22.1 Å³ per atom

=====

BeTe2SF: relaxed, PBE-GGA.

The structure in extended XYZ format:
```
5
Lattice="4.869 0.000 0.000 0.000 4.869 0.000 0.000 0.000 4.553" Properties=species:S:1:pos:R:3 pbc="T T T"
Te 2.435 0.000 0.000
Te 0.000 2.435 0.000
S 0.000 0.000 2.277
F 0.000 0.000 0.000
Be 2.435 2.435 2.277
```

Output
N(E_F): 4.75 states/eV/cell
ΔE_f (raw): 0.668 eV per atom
Space group: P4/mmm, No. 123
Uncorrected energy: -2.534 eV per atom
Volume: 21.6 Å³ per atom

=====

BaCe2Hg3: relaxed, PBE-GGA.

The structure in extended XYZ format:
```
6
Lattice="-0.855 -1.073 -3.688 3.537 -1.693 -0.327 -4.537 -10.256 4.036" Properties=species:S:1:pos:R:3 pbc="T T T"
Hg -3.161 -7.146 2.812
Hg -1.376 -3.110 1.224
Hg 0.000 0.000 0.000
Ce 0.647 -2.953 -1.390
Ce -2.501 -10.069 1.411
Ba -0.927 -6.511 0.011
```

Output
N(E_F): 18.64 states/eV/cell
E_form: -0.35 eV/atom
Space group: P4/mmm, No. 123
Uncorrected energy: -2.796 eV per atom
Volume: 30.8 Å³ per atom

=====

NpBeZnH6: relaxed, PBE-GGA.

The structure in extended XYZ format:
```
9
Lattice="-3.649 -1.601 1.333 -0.020 -3.271 2.637 0.040 2.772 3.439" Properties=species:S:1:pos:R:3 pbc="T T T"
H -1.768 -0.265 1.463
H -1.755 -0.201 4.627
H -0.074 0.537 4.013
H -1.778 -1.772 2.677
H -1.746 1.306 3.412
H -0.097 -1.034 2.063
Np -3.609 1.170 4.772
Zn -2.426 -1.862 4.366
Be -1.203 -0.238 3.043
```

Output
N(E_F): 5.89 states/eV/cell
Space group: P-6m2, No. 187
Uncorrected energy: -4.156 eV per atom
Volume: 7.5 Å³ per atom